Compound: Zr2AlZnFe
Source: Alexandria via LeMat-Bulk
Functional: GGA-PBE
Structure: optimized geometry

Lattice parameters (Å, degrees): 4.7496 4.7496 4.5302 90.00 90.00 90.00
Space group P4/mmm (No. 123)
One atom of each set of equivalent atoms:
Zr 0.0000 0.5000 0.0000
Al 0.0000 0.0000 0.5000
Zn 0.5000 0.5000 0.5000
Fe 0.0000 0.0000 0.0000

Calculated values
Formation energy: 138 meV/atom


Compound: ScFe3I
Source: Alexandria via LeMat-Bulk
Functional: GGA-PBE
Structure: optimized geometry

Lattice parameters (Å, degrees): 4.6765 4.6765 4.6765 90.00 90.00 90.00
Space group Pm-3m (No. 221)
One atom of each set of equivalent atoms:
Sc 0.0000 0.0000 0.0000
Fe 0.0000 0.0000 0.5000
I 0.5000 0.5000 0.5000

Calculated values
Polymorph energy (0 for the lowest one): 310 meV per atom
Formation energy without anion corrections: 1.46 eV/atom


Compound: Tb6Co2Cu
Source: Alexandria via LeMat-Bulk
Functional: GGA-PBE
Structure: optimized geometry

Lattice parameters (Å, degrees): 9.2983 9.5086 9.7691 90.00 90.00 90.00
Space group Immm (No. 71)
One atom of each set of equivalent atoms:
Tb 0.0000 0.1906 0.2391
Tb 0.1859 0.5000 0.1746
Tb 0.2247 0.3223 0.5000
Co 0.0000 0.3341 0.0000
Co 0.0000 0.5000 0.3854
Cu 0.0000 0.0000 0.0000
Cu 0.0000 0.0000 0.5000

Calculated values
Formation energy: -159 meV/atom


Compound: Tb3Al2Ga
Source: Alexandria via LeMat-Bulk
Functional: GGA-PBE
Structure: optimized geometry

Lattice parameters (Å, degrees): 3.5927 3.5927 10.9153 90.00 90.00 90.00
Space group P4/mmm (No. 123)
One atom of each set of equivalent atoms:
Tb 0.0000 0.0000 0.0000
Tb 0.0000 0.0000 0.3357
Al 0.5000 0.5000 0.1671
Ga 0.5000 0.5000 0.5000

Calculated values
Formation energy: -457 meV/atom


Compound: KZr2Sb
Source: Alexandria via LeMat-Bulk
Functional: GGA-PBE
Structure: optimized geometry

Lattice parameters (Å, degrees): 3.6224 3.6224 9.6882 90.00 90.00 90.00
Space group P4/mmm (No. 123)
One atom of each set of equivalent atoms:
K 0.0000 0.0000 0.0000
Zr 0.5000 0.5000 0.3427
Sb 0.0000 0.0000 0.5000

Calculated values
Formation energy without anion corrections: 0.19 eV/atom


Compound: CsZrBe2F
Source: Alexandria via LeMat-Bulk
Functional: GGA-PBE
Structure: optimized geometry

Lattice parameters (Å, degrees): 5.4110 5.4110 4.3377 90.00 90.00 90.00
Space group P4/mmm (No. 123)
One atom of each set of equivalent atoms:
Cs 0.0000 0.0000 0.0000
Zr 0.5000 0.5000 0.5000
Be 0.0000 0.5000 0.5000
F 0.5000 0.5000 0.0000

Calculated values
Polymorph energy (0 for the lowest one): 0 meV per atom
Formation energy without anion corrections: 0.10 eV/atom


Compound: Zr8Ta
Source: Alexandria via LeMat-Bulk
Functional: GGA-PBE
Structure: optimized geometry

Lattice parameters (Å, degrees): 9.5475 9.5475 4.4669 90.00 90.00 90.00
Space group I4/mmm (No. 139)
One atom of each set of equivalent atoms:
Zr 0.0000 0.3303 0.0000
Zr 0.1625 0.1625 0.5000
Ta 0.0000 0.0000 0.0000

Calculated values
Formation energy: 96 meV/atom


Compound: Pa6Bi2C
Source: Alexandria via LeMat-Bulk
Functional: GGA-PBE
Structure: optimized geometry

Lattice parameters (Å, degrees): 5.1429 5.1429 18.6913 90.00 90.00 90.00
Space group P4_2/mnm (No. 136)
One atom of each set of equivalent atoms:
Pa 0.1867 0.1867 0.0000
Pa 0.2153 0.2153 0.4004
Bi 0.0000 0.0000 0.2422
C 0.0000 0.0000 0.5000

Calculated values
Formation energy: 231 meV/atom


Spin magnetization in μB per formula unit, matching the order above: 0.0 6.3 0.0 0.0 0.0 0.0 0.0 0.0